First-principles (PBE) data for a relaxed structure of ZnC2, as listed in Alexandria.

a b c (Å): 3.6768 3.6768 5.7250
angles (deg): 90.00 90.00 90.00
With the nearest neighbours (Å) after each atom.
Fractional positions:
Zn1 0.0000 0.0000 0.0000  2 C 1.97
Zn2 0.5000 0.5000 0.5000  2 C 1.97
C1 0.1204 0.1204 0.5000  1 C 1.25
C2 0.3796 0.6204 0.0000  1 C 1.25
C3 0.6204 0.3796 0.0000  1 C 1.25
C4 0.8796 0.8796 0.5000  1 C 1.25

Values from the calculation:
DFT total energy in eV/cell: -33.76
Volume in Å³/f.u.: 39
Formation energy from the elements in kJ/mol of formula units: 274
Space-group type: P4_2/mnm